Compound: MnCu3P
Source: the Alexandria database
Functional: PBE-GGA
Structure: relaxed

```
data_MnCu3P
_space_group_name_H-M_alt 'P m -3 m'
_space_group_IT_number 221
_space_group_name_Hall '-P 4 2 3'
_cell_length_a 4.3012
_cell_length_b 4.3012
_cell_length_c 4.3012
_cell_angle_alpha 90.00
_cell_angle_beta 90.00
_cell_angle_gamma 90.00
loop_
_atom_site_label
_atom_site_type_symbol
_atom_site_fract_x
_atom_site_fract_y
_atom_site_fract_z
_atom_site_occupancy
Mn1 Mn 0.0000 0.0000 0.0000 1
Cu1 Cu 0.0000 0.5000 0.5000 1
P1 P 0.5000 0.5000 0.5000 1
```

Computed properties:
Final energy ... -24.75 eV/f.u.
ΔH_f (0 K) ... 423.3 meV/atom
Size of the total moment ... 0.841 μB per atom